# 1
Crystalline Pm6TlP2Se3 at its relaxed geometry. Source: Alexandria via LeMat-Bulk, functional PBE-GGA.

Lattice parameters (Å, degrees): 4.178 8.579 9.468 103.11 102.75 90.00
Positions (direct):
Pm: 0.329 0.899 0.657
Pm: 0.672 0.572 0.344
Pm: 0.671 0.101 0.343
Pm: 0.005 0.265 0.011
Pm: 0.995 0.735 0.989
Pm: 0.328 0.428 0.656
Tl: 0.500 0.000 0.000
P: 0.832 0.664 0.663
P: 0.168 0.336 0.337
Se: 0.500 0.500 0.000
Se: 0.835 0.169 0.669
Se: 0.165 0.831 0.331

Results
- Formation energy (no corrections): -18.21 eV per formula unit
- Space-group type: C2/m, No. 12

---

# 2
Crystalline BaW2Cl at its relaxed geometry. Source: Alexandria via LeMat-Bulk, functional PBE-GGA.

Lattice parameters (Å, degrees): 6.987 6.987 2.955 90.00 90.00 134.60
Last column: magnetic moment on the atom in μB.
Positions (direct):
Ba: 0.500 0.000 0.500  0.04
W: 0.000 0.000 0.000  0.62
W: 0.500 0.500 0.000  0.62
Cl: 0.000 0.500 0.500  0.05

Results
- Formation energy (no corrections): 5.37 eV per formula unit
- Space-group type: Cmmm, No. 65
- Polymorph energy (0 for the lowest one): 1.169 eV per atom

---

# 3
Crystalline Sr3ScU2As6 at its relaxed geometry. Source: Alexandria via LeMat-Bulk, functional PBE-GGA.

Lattice parameters (Å, degrees): 7.277 7.277 7.489 99.31 99.31 120.00
Last column: magnetic moment on the atom in μB.
Positions (direct):
Sr: 0.166 0.834 0.500  -0.01
Sr: 0.834 0.166 0.500  -0.01
Sr: 0.500 0.500 0.500  -0.01
Sc: 0.000 0.000 0.000  -0.01
U: 0.333 0.667 0.000  1.71
U: 0.667 0.333 0.000  1.71
As: 0.929 0.597 0.787  -0.05
As: 0.739 0.739 0.213  -0.05
As: 0.071 0.403 0.213  -0.05
As: 0.597 0.929 0.787  -0.05
As: 0.261 0.261 0.787  -0.05
As: 0.403 0.071 0.213  -0.05

Results
- Formation energy: -1.0488 eV per atom
- Space-group type: C2/m, No. 12

---

# 4
Crystalline Cs2KSb2 at its relaxed geometry. Source: Alexandria via LeMat-Bulk, functional PBE-GGA.

Lattice parameters (Å, degrees): 6.423 6.423 8.168 66.85 66.85 90.00
Positions (direct):
Cs: 0.368 0.368 0.264
Cs: 0.632 0.632 0.736
Sb: 0.750 0.250 0.500
Sb: 0.250 0.750 0.500
K: 0.000 0.000 0.000

Results
- Formation energy (no corrections): 0.52 eV per formula unit
- Space-group type: I4/mmm, No. 139
- Polymorph energy (0 for the lowest one): 0.491 eV per atom